1.
Ag2RhSe PBE optimized geometry; formation energy (no corrections) = 1.0 eV/f.u.
1.0
6.511 0.000 0.000
0.000 6.511 0.000
0.000 0.000 6.511
Ag Rh Se
8 4 4
direct
0.000 0.000 0.000 Ag
0.000 0.500 0.500 Ag
0.250 0.250 0.250 Ag
0.250 0.750 0.750 Ag
0.500 0.000 0.500 Ag
0.500 0.500 0.000 Ag
0.750 0.250 0.750 Ag
0.750 0.750 0.250 Ag
0.250 0.250 0.750 Rh
0.250 0.750 0.250 Rh
0.750 0.250 0.250 Rh
0.750 0.750 0.750 Rh
0.000 0.000 0.500 Se
0.000 0.500 0.000 Se
0.500 0.000 0.000 Se
0.500 0.500 0.500 Se



2.
BeAlRh PBE optimized geometry; energy of formation = -0.336 eV/atom
1.0
5.604 0.000 0.000
0.000 5.604 0.000
0.000 0.000 5.604
Be Al Rh
4 4 4
direct
0.000 0.000 0.000 Be
0.000 0.500 0.500 Be
0.500 0.000 0.500 Be
0.500 0.500 0.000 Be
0.000 0.000 0.500 Al
0.000 0.500 0.000 Al
0.500 0.000 0.000 Al
0.500 0.500 0.500 Al
0.250 0.250 0.250 Rh
0.250 0.750 0.750 Rh
0.750 0.250 0.750 Rh
0.750 0.750 0.250 Rh



3.
Ce2Nd2Th15 PBE optimized geometry; energy of formation = 0.272 eV/atom
1.0
5.721 3.303 5.738
-5.721 3.303 5.738
0.000 -6.606 5.738
Ce Nd Th
2 2 15
direct
0.083 0.083 0.083 Ce
0.917 0.917 0.917 Ce
0.323 0.323 0.323 Nd
0.677 0.677 0.677 Nd
0.000 0.000 0.500 Th
0.000 0.300 0.700 Th
0.000 0.500 0.000 Th
0.000 0.700 0.300 Th
0.157 0.650 0.650 Th
0.300 0.000 0.700 Th
0.300 0.700 0.000 Th
0.350 0.350 0.843 Th
0.350 0.843 0.350 Th
0.500 0.000 0.000 Th
0.650 0.157 0.650 Th
0.650 0.650 0.157 Th
0.700 0.000 0.300 Th
0.700 0.300 0.000 Th
0.843 0.350 0.350 Th



4.
ScBeMo2 PBE optimized geometry; energy of formation = 0.145 eV/atom
1.0
3.636 0.000 0.000
0.000 4.087 0.000
0.000 0.000 8.218
Sc Be Mo
2 2 4
direct
0.000 0.000 0.000 Sc
0.500 0.500 0.000 Sc
0.000 0.000 0.500 Be
0.500 0.500 0.500 Be
0.000 0.500 0.294 Mo
0.000 0.500 0.706 Mo
0.500 0.000 0.294 Mo
0.500 0.000 0.706 Mo



5.
Sn2Sb2Pb PBE optimized geometry; formation energy (no corrections) = 0.9 eV/f.u.
1.0
4.266 0.000 0.000
0.000 4.266 0.000
0.000 0.000 16.889
Sn Sb Pb
4 4 2
direct
0.000 0.000 0.096 Sn
0.000 0.000 0.904 Sn
0.500 0.500 0.404 Sn
0.500 0.500 0.596 Sn
0.000 0.500 0.250 Sb
0.000 0.500 0.750 Sb
0.500 0.000 0.250 Sb
0.500 0.000 0.750 Sb
0.000 0.000 0.500 Pb
0.500 0.500 0.000 Pb



6.
CeU3S4 PBE optimized geometry; formation energy (no corrections) = -12.2 eV/f.u.
1.0
7.853 0.000 0.000
0.000 11.034 0.000
0.000 0.000 3.881
Ce U S
2 6 8
direct
0.000 0.000 0.000 Ce
0.500 0.500 0.000 Ce
0.000 0.500 0.000 U
0.250 0.250 0.500 U
0.250 0.750 0.500 U
0.500 0.000 0.000 U
0.750 0.250 0.500 U
0.750 0.750 0.500 U
0.000 0.253 0.000 S
0.000 0.747 0.000 S
0.244 0.500 0.500 S
0.256 0.000 0.500 S
0.500 0.247 0.000 S
0.500 0.753 0.000 S
0.744 0.000 0.500 S
0.756 0.500 0.500 S